The following is a PBE with a Hubbard U calculation of an optimized crystal structure of TiCrO2, from the Alexandria database.

Values from the calculation:
* space group: Fm-3m, No. 225
* total magnetic moment: 3.25 μB per formula unit
* distance to the lowest polymorph of the same formula: 737 meV/atom

Cell and atoms, written as extended XYZ:
```
4
Lattice="-2.016 -2.175 2.401 -1.359 1.489 3.240 -3.749 0.580 0.408" Properties=species:S:1:pos:R:3 pbc="T T T"
Cr -3.562 -0.053 3.024
O -1.781 -0.027 1.512
O -5.343 -0.080 4.537
Ti 0.000 0.000 0.000
```